Record 1
! Dy2Y4LuNi2Te2, relaxed, DFT GGA-PBE; values from VASP
! E above lowest polymorph = 0.0023 eV per atom
! Total energy = -5.8486 eV/atom
! Symmetry = Imm2
&SYSTEM
  ibrav = 0, nat = 11, ntyp = 5
/
ATOMIC_SPECIES
Dy 162.50 Dy.upf
Y 88.91 Y.upf
Lu 174.97 Lu.upf
Ni 58.69 Ni.upf
Te 127.60 Te.upf
ATOMIC_POSITIONS crystal
Dy 0.132 0.000 0.132
Dy 0.868 0.000 0.868
Y 0.207 0.852 0.355
Y 0.497 0.852 0.645
Y 0.518 0.202 0.316
Y 0.886 0.202 0.684
Lu 0.582 0.582 0.000
Ni 0.270 0.509 0.761
Ni 0.748 0.509 0.239
Te 0.246 0.246 0.000
Te 0.845 0.345 0.500
CELL_PARAMETERS angstrom
-1.923 7.810 4.810
1.923 -7.810 4.810
1.923 7.810 -4.810



Record 2
! GdTmAs2C4, relaxed, DFT GGA-PBE; values from VASP
! Total energy = -6.2589 eV/atom
! Symmetry = P-3m1
&SYSTEM
  ibrav = 0, nat = 8, ntyp = 4
/
ATOMIC_SPECIES
Gd 157.25 Gd.upf
Tm 168.93 Tm.upf
As 74.92 As.upf
C 12.01 C.upf
ATOMIC_POSITIONS crystal
Gd 0.000 0.000 0.000
Tm 0.000 0.000 0.500
As 0.333 0.667 0.748
As 0.667 0.333 0.252
C 0.333 0.667 0.170
C 0.333 0.667 0.341
C 0.667 0.333 0.659
C 0.667 0.333 0.830
CELL_PARAMETERS angstrom
3.950 0.000 0.000
-1.975 3.421 0.000
0.000 0.000 8.441